The following is a DFT calculation (PBE) of HfTa2Tc3 after structural relaxation.

a b c (Å): 3.2091 3.2091 9.6491
angles (deg): 90.00 90.00 90.00
Space group P4/mmm (No. 123)
One atom of each set of equivalent atoms:
1 Hf 0.0000 0.0000 0.0000 x1
2 Ta 0.0000 0.0000 0.3340 x2
3 Tc 0.5000 0.5000 0.1744 x2
4 Tc 0.5000 0.5000 0.5000 x1

Output
VASP energy	-11.308	eV per atom
Fermi-level density of states	0.6579	states/eV per atom

The following is a DFT calculation (PBE) of HfTa2Tc after structural relaxation.

a b c (Å): 7.4907 7.4907 5.5893
angles (deg): 90.00 90.00 90.00
Space group I-42d (No. 122)
One atom of each set of equivalent atoms:
1 Hf 0.0000 0.0000 0.0000 x4
2 Ta 0.2108 0.2500 0.6250 x8
3 Tc 0.0000 0.0000 0.5000 x4

Output
Fermi-level density of states	0.6888	states/eV per atom
ΔE to the lowest computed polymorph	677	meV/atom

The following is a DFT calculation (PBE) of HfTa2Tc4 after structural relaxation.

a b c (Å): 6.3462 6.3462 6.1933
angles (deg): 90.00 90.00 90.00
Space group I4/mmm (No. 139)
One atom of each set of equivalent atoms:
1 Hf 0.0000 0.0000 0.0000 x2
2 Ta 0.0000 0.5000 0.0000 x4
3 Tc 0.2500 0.2500 0.2500 x8

Output
VASP energy	-10.574	eV per atom
Fermi-level density of states	1.5020	states/eV per atom

The following is a DFT calculation (PBE) of Hf3TaTc4 after structural relaxation.

a b c (Å): 3.2379 3.2379 13.0174
angles (deg): 90.00 90.00 90.00
Space group P4/mmm (No. 123)
One atom of each set of equivalent atoms:
1 Hf 0.0000 0.0000 0.0000 x1
2 Hf 0.0000 0.0000 0.2517 x2
3 Ta 0.0000 0.0000 0.5000 x1
4 Tc 0.5000 0.5000 0.1267 x2
5 Tc 0.5000 0.5000 0.3808 x2

Output
VASP energy	-10.889	eV per atom
Fermi-level density of states	0.9640	states/eV per atom

The following is a DFT calculation (PBE) of Hf2TaTc after structural relaxation.

a b c (Å): 4.7329 4.7329 3.3358
angles (deg): 90.00 90.00 90.00
Space group P4/mmm (No. 123)
One atom of each set of equivalent atoms:
1 Hf 0.0000 0.5000 0.0000 x2
2 Ta 0.0000 0.0000 0.5000 x1
3 Tc 0.5000 0.5000 0.5000 x1

Output
Fermi-level density of states	1.6430	states/eV per atom
ΔE to the lowest computed polymorph	94	meV/atom

The following is a DFT calculation (PBE) of HfTa2Tc after structural relaxation.

a b c (Å): 3.1996 3.1996 7.0574
angles (deg): 90.00 90.00 90.00
Space group P4/mmm (No. 123)
One atom of each set of equivalent atoms:
1 Hf 0.0000 0.0000 0.0000 x1
2 Ta 0.5000 0.5000 0.2781 x2
3 Tc 0.0000 0.0000 0.5000 x1

Output
Fermi-level density of states	1.0105	states/eV per atom
ΔE to the lowest computed polymorph	70	meV/atom